Entry 1:
# PBE-GGA PrSb3, relaxed
# * formation energy (no corrections): -1.99 eV/f.u.
# * total magnetization: 0.0 μB/f.u.
# * energy: -4.784 eV/atom
# * relative energy among the computed polymorphs: 0.0173 eV/atom
data_PrSb3
_chemical_formula_sum 'Pr4 Sb12'
_cell_length_a 6.776
_cell_length_b 9.026
_cell_length_c 7.467
_cell_angle_alpha 90.00
_cell_angle_beta 90.00
_cell_angle_gamma 90.00
_space_group_name_H-M_alt 'I m m a'
_space_group_IT_number 74
_space_group_name_Hall '-I 2b 2'
loop_
_atom_site_label
_atom_site_type_symbol
_atom_site_fract_x
_atom_site_fract_y
_atom_site_fract_z
Pr1 Pr 0.000 0.250 0.054
Sb1 Sb 0.000 0.250 0.504
Sb2 Sb 0.250 0.024 0.750

***

Entry 2:
# PBE-GGA ZnFe2Rh, relaxed
# * energy of formation: -0.051 eV per atom
# * total magnetization: 5.7 μB/f.u.
# * energy: -6.438 eV/atom
data_ZnFe2Rh
_chemical_formula_sum 'Zn2 Fe4 Rh2'
_cell_length_a 2.978
_cell_length_b 4.111
_cell_length_c 8.532
_cell_angle_alpha 90.00
_cell_angle_beta 90.00
_cell_angle_gamma 90.00
_space_group_name_H-M_alt 'I m m m'
_space_group_IT_number 71
_space_group_name_Hall '-I 2 2'
loop_
_atom_site_label
_atom_site_type_symbol
_atom_site_fract_x
_atom_site_fract_y
_atom_site_fract_z
Zn1 Zn 0.000 0.000 0.000
Fe1 Fe 0.000 0.500 0.248
Rh1 Rh 0.000 0.000 0.500

***

Entry 3:
# PBE-GGA Hf2PF2, relaxed
# * formation energy (no corrections): -6.49 eV/f.u.
# * total magnetization: 0.0 μB/f.u.
# * energy: -7.111 eV/atom
# * relative energy among the computed polymorphs: 0.6915 eV/atom
data_Hf2PF2
_chemical_formula_sum 'Hf4 P2 F4'
_cell_length_a 7.216
_cell_length_b 7.216
_cell_length_c 2.888
_cell_angle_alpha 90.00
_cell_angle_beta 90.00
_cell_angle_gamma 90.00
_space_group_name_H-M_alt 'P 4/m b m'
_space_group_IT_number 127
_space_group_name_Hall '-P 4 2ab'
loop_
_atom_site_label
_atom_site_type_symbol
_atom_site_fract_x
_atom_site_fract_y
_atom_site_fract_z
Hf1 Hf 0.207 0.293 0.000
P1 P 0.000 0.000 0.000
F1 F 0.115 0.615 0.500

***

Entry 4:
# PBE-GGA PrGa2I6, relaxed
# * formation energy (no corrections): -6.50 eV/f.u.
# * total magnetization: 0.0 μB/f.u.
# * energy: -2.959 eV/atom
data_PrGa2I6
_chemical_formula_sum 'Pr2 Ga4 I12'
_cell_length_a 14.914
_cell_length_b 5.476
_cell_length_c 10.560
_cell_angle_alpha 90.00
_cell_angle_beta 91.55
_cell_angle_gamma 90.00
_space_group_name_H-M_alt 'C 1 2/m 1'
_space_group_IT_number 12
loop_
_space_group_symop_operation_xyz
'x,y,z'
'-x,-y,-z'
'-x,y,-z'
'x,-y,z'
'x+1/2,y+1/2,z'
'-x+1/2,-y+1/2,-z'
'-x+1/2,y+1/2,-z'
'x+1/2,-y+1/2,z'
loop_
_atom_site_label
_atom_site_type_symbol
_atom_site_fract_x
_atom_site_fract_y
_atom_site_fract_z
Pr1 Pr 0.000 0.000 0.000
Ga1 Ga 0.234 0.500 0.338
I1 I 0.078 0.000 0.733
I2 I 0.123 0.500 0.066
I3 I 0.200 0.000 0.361

***

Question: energy of number 3 (Hf2PF2)?
Answer: -7.111 eV/atom